No. 1
# KZr3

A geometry-optimized KZr3 structure (PBE, Alexandria via LeMat-Bulk).

a = 8.173 Å, b = 10.644 Å, c = 5.074 Å
α = 90.00°, β = 90.00°, γ = 90.00°
Space group Cmcm (No. 63)
Symmetry-distinct sites (fractional):
K  0.000  0.073  0.250 x4
Zr  0.000  0.400  0.750 x4
Zr  0.189  0.345  0.250 x8

No. 2
# KZr2

A geometry-optimized KZr2 structure (PBE, Alexandria via LeMat-Bulk).

Output
- Energy relative to the lowest polymorph listed for this composition: 0.485 eV per atom

a = 2.979 Å, b = 18.473 Å, c = 6.313 Å
α = 90.00°, β = 90.00°, γ = 90.00°
Space group Cmcm (No. 63)
Symmetry-distinct sites (fractional):
K  0.000  0.123  0.250 x4
Zr  0.000  0.199  0.750 x4
Zr  0.000  0.442  0.250 x4

What are the formation energy values for these records? In order: 708, 885 meV/atom.